# 1
Compound: Pr2DyY8
Source: the Alexandria database
Functional: GGA-PBE
Structure: optimized geometry

```
Pr2DyY8
1.0
5.7231 1.5995 0.0000
2.5574 8.7314 0.0000
1.2787 4.3657 8.0329
Pr Y Dy
2 8 1
direct
0.0000 0.3057 0.3885
0.0000 0.6943 0.6115
0.7019 0.5782 0.0000
0.1651 0.9015 0.7712
0.8349 0.3273 0.7712
0.8349 0.0985 0.2288
0.1651 0.6727 0.2288
0.5000 0.7915 0.4170
0.2981 0.4218 0.0000
0.5000 0.2085 0.5830
0.5000 0.0000 0.0000
```

Properties
Energy of formation from the pure elements ... 154.8 meV per atom

---

# 2
Compound: BeGe3
Source: the Alexandria database
Functional: GGA-PBE
Structure: optimized geometry

```
BeGe3
1.0
-4.9387 -0.6950 1.2240
-0.8617 -0.4449 5.0430
2.5566 3.3385 -2.9480
Ge Be
3 1
direct
0.2500 0.7500 0.5000
0.5000 0.5000 0.0000
0.7500 0.2500 0.5000
0.0000 0.0000 0.0000
```

Properties
Energy of formation from the pure elements ... 510.7 meV per atom

---

# 3
Compound: ErZn4Au2
Source: the Alexandria database
Functional: GGA-PBE
Structure: optimized geometry

```
ErZn4Au2
1.0
-3.6851 0.1498 -0.8000
0.7516 -1.1817 -3.6838
-1.2397 -7.5898 4.2899
Er Zn Au
1 4 2
direct
0.0000 0.0000 0.0000
0.0000 0.6943 0.3886
0.5000 0.1866 0.3733
0.5000 0.8134 0.6267
0.0000 0.3057 0.6114
0.5000 0.5812 0.1623
0.5000 0.4188 0.8377
```

Properties
Energy of formation from the pure elements ... -377.6 meV per atom

---

What are the M_tot values for these records? In order: 0.00, 0.00, 0.00 Bohr magnetons per cell.